! RbLaMoPd, optimized geometry, DFT PBE-GGA; values from VASP
! Distance to the lowest polymorph of the same formula   0 meV per atom
! DOS at the Fermi energy   4.4 states/eV/cell
! ΔH_f (0 K)   41.6 kJ per mole of atoms
! Size of the total moment   0.00 μB per atom
! Volume   118.10 Å³/f.u.
&SYSTEM
  ibrav = 0, nat = 4, ntyp = 4
/
ATOMIC_SPECIES
Rb 85.47 Rb.upf
La 138.91 La.upf
Mo 95.94 Mo.upf
Pd 106.42 Pd.upf
ATOMIC_POSITIONS crystal
Rb 0.378 0.000 0.579
La 0.176 0.500 0.167
Mo 0.571 0.000 0.956
Pd 0.017 0.500 0.848
CELL_PARAMETERS angstrom
-2.434 -0.754 1.928
1.845 -3.045 1.138
5.357 5.612 6.334